1.
This record from Alexandria describes a relaxed structure of NaBNO2. The functional is PBE.

Properties
Uncorrected formation energy = 2144 meV/atom
Theoretical density = 1.63 g/cm3

Unit cell a=4.260 b=4.260 c=4.473 alpha=90.00 beta=90.00 gamma=90.00
Space group P4/mmm (No. 123)
Unique sites:
Na 0.000 0.000 0.000 (multiplicity 1)
B 0.500 0.500 0.500 (multiplicity 1)
N 0.000 0.000 0.500 (multiplicity 1)
O 0.000 0.500 0.000 (multiplicity 2)

---

2.
This record from Alexandria describes a relaxed structure of LaHg2Au. The functional is PBE.

Properties
Energy of formation = -0.325 eV/atom
Theoretical density = 11.06 g/cm3

Unit cell a=4.405 b=4.405 c=22.800 alpha=90.00 beta=90.00 gamma=90.00
Space group I-42d (No. 122)
Unique sites:
La 0.000 0.000 0.000 (multiplicity 4)
Hg 0.227 0.250 0.625 (multiplicity 8)
Au 0.000 0.000 0.500 (multiplicity 4)

---

The lowest theoretical density belongs to which entry? NaBNO2